Computed, not measured: a relaxed structure of LaTmS3 at the GGA-PBEsol level of DFT.

```
40
Lattice="3.9514 0.0000 0.0000 0.0000 10.8832 -0.0119 0.0000 -4.2557 20.8791" Properties=species:S:1:pos:R:3 pbc="T T T"
La 0.9879 2.2777 4.9041
La 2.9636 4.3498 15.9631
La 0.9879 9.3148 2.7844
La 2.9636 -2.6873 18.0827
La 0.9879 6.3890 5.5354
La 2.9636 0.2384 15.3318
La 0.9879 6.7212 9.6727
La 2.9636 -0.0937 11.1944
Tm 0.9879 3.5332 12.1645
Tm 2.9636 3.0943 8.7026
Tm 0.9879 7.8197 13.5488
Tm 2.9636 -1.1923 7.3184
Tm 0.9879 4.8558 19.8834
Tm 2.9636 1.7716 0.9837
Tm 0.9879 1.3194 19.0545
Tm 2.9636 5.3080 1.8127
S 0.9879 -3.1715 20.1585
S 2.9636 9.7989 0.7087
S 0.9879 -0.4482 13.2649
S 2.9636 7.0756 7.6023
S 0.9879 5.2600 14.0754
S 2.9636 1.3674 6.7918
S 0.9879 6.7805 0.7285
S 2.9636 -0.1531 20.1387
S 0.9879 2.1988 16.2961
S 2.9636 4.4287 4.5711
S 0.9879 -0.7734 17.2798
S 2.9636 7.4009 3.5873
S 0.9879 5.9670 17.4629
S 2.9636 0.6605 3.4042
S 0.9879 1.8137 10.1273
S 2.9636 4.8137 10.7398
S 0.9879 -1.2558 9.2506
S 2.9636 7.8833 11.6166
S 0.9879 9.3535 5.6299
S 2.9636 -2.7261 15.2372
S 0.9879 4.3660 7.6145
S 2.9636 2.2615 13.2527
S 0.9879 3.3202 2.0552
S 2.9636 3.3073 18.8120
```

Computed, not measured: a relaxed structure of LaTmS2 at the GGA-PBEsol level of DFT.

```
4
Lattice="-2.5010 -2.9561 0.2557 0.3086 -2.5572 2.9025 -4.7728 1.9043 4.7793" Properties=species:S:1:pos:R:3 pbc="T T T"
S -1.8480 -0.8034 2.0827
S -5.1172 -2.8055 5.8547
Tm -3.4826 -1.8045 3.9687
La 0.0000 0.0000 0.0000
```

Computed, not measured: a relaxed structure of LaYWS2 at the GGA-PBEsol level of DFT.

```
5
Lattice="5.2289 0.0000 0.0000 0.0000 5.2289 0.0000 0.0000 0.0000 6.4291" Properties=species:S:1:pos:R:3 pbc="T T T"
Y 0.0000 0.0000 3.2146
S 0.0000 2.6145 0.0000
S 2.6145 0.0000 0.0000
W 2.6145 2.6145 3.2146
La 0.0000 0.0000 0.0000
```

Computed, not measured: a relaxed structure of LaY3S6 at the GGA-PBEsol level of DFT.

```
20
Lattice="3.9654 0.0000 0.0000 0.0000 10.9593 -0.0012 0.0000 -3.6302 10.6613" Properties=species:S:1:pos:R:3 pbc="T T T"
La 2.9741 -1.9644 7.4127
La 0.9914 9.2935 3.2474
Y 2.9741 1.8440 8.8799
Y 0.9914 5.4851 1.7802
Y 2.9741 5.6279 5.3408
Y 0.9914 1.7012 5.3193
Y 2.9741 1.4408 0.9282
Y 0.9914 5.8883 9.7319
S 2.9741 3.0463 6.5232
S 0.9914 4.2828 4.1369
S 2.9741 9.6993 0.9958
S 0.9914 -2.3702 9.6643
S 2.9741 4.1034 0.5952
S 0.9914 3.2257 10.0649
S 2.9741 7.0473 2.8879
S 0.9914 0.2819 7.7722
S 2.9741 -0.3638 4.9385
S 0.9914 7.6929 5.7216
S 2.9741 6.0835 8.0050
S 0.9914 1.2456 2.6551
```

Computed, not measured: a relaxed structure of La2YZnS at the GGA-PBEsol level of DFT.

```
5
Lattice="-1.7180 0.1841 -4.5064 -2.0372 -5.2396 0.5626 -4.8709 2.1024 1.9428" Properties=species:S:1:pos:R:3 pbc="T T T"
Y 0.0000 0.0000 0.0000
Zn -0.8590 0.0920 -2.2532
S -4.3130 -1.4766 -1.0005
La -2.4354 1.0512 0.9714
La -1.0186 -2.6198 0.2813
```

Computed, not measured: a relaxed structure of La3ZnS at the GGA-PBEsol level of DFT.

```
5
Lattice="5.5129 0.0000 0.0000 0.0000 5.5129 0.0000 0.0000 0.0000 5.5129" Properties=species:S:1:pos:R:3 pbc="T T T"
Zn 0.0000 0.0000 0.0000
S 2.7564 2.7564 2.7564
La 0.0000 2.7564 0.0000
La 0.0000 0.0000 2.7564
La 2.7564 0.0000 0.0000
```

Computed, not measured: a relaxed structure of La2ZrS5 at the GGA-PBEsol level of DFT.

```
32
Lattice="-6.5913 1.6714 2.6464 2.7000 -1.3835 7.5986 3.0935 10.8208 0.8709" Properties=species:S:1:pos:R:3 pbc="T T T"
La 0.8382 2.9138 9.0246
La 3.5014 8.3876 4.7058
La -0.2970 7.5088 5.8597
La -5.6382 3.4072 2.6417
La -1.6360 8.1949 2.0913
La -4.2992 2.7211 6.4101
La -0.5008 3.5999 5.2562
La 4.8404 7.7015 8.4742
Zr -2.0995 0.4896 3.0376
Zr 1.7709 5.3107 2.5401
Zr 1.3017 10.6191 8.0783
Zr -2.5687 5.7980 8.5758
S 0.5408 3.0562 2.5667
S 0.8559 8.7788 3.4967
S -1.3386 8.0525 8.5491
S -1.6537 2.3298 7.6192
S 0.7177 -0.0344 8.2298
S 2.0211 5.7365 5.0500
S -0.3609 10.5515 6.1355
S -3.9735 5.9638 2.8165
S -1.5155 11.1431 2.8861
S -2.8189 5.3722 6.0659
S -0.4369 0.5572 4.9804
S 3.1757 5.1449 8.2994
S -2.9267 2.8362 3.7588
S -2.8540 8.6203 4.7861
S 2.1289 8.2725 7.3571
S 2.0562 2.4883 6.3298
S 0.3093 -0.2019 2.0558
S -0.6809 5.8518 3.5098
S -1.1071 11.3106 9.0601
S -0.1169 5.2569 7.6061
```

Computed, not measured: a relaxed structure of La3Sb at the GGA-PBEsol level of DFT.

```
4
Lattice="5.5262 0.0000 0.0000 2.7631 4.7858 0.0000 2.7631 1.5953 4.5121" Properties=species:S:1:pos:R:3 pbc="T T T"
La 2.7631 1.5953 1.1280
La 5.5262 3.1905 2.2560
La 8.2892 4.7858 3.3841
Sb 0.0000 0.0000 0.0000
```

Computed, not measured: a relaxed structure of La3Sb at the GGA-PBEsol level of DFT.

```
16
Lattice="-3.4787 3.5479 4.8370 -3.3955 -2.8006 -5.3584 -1.4897 -9.5590 5.9401" Properties=species:S:1:pos:R:3 pbc="T T T"
La -3.4371 0.3736 -0.2607
La -4.1820 -4.4059 2.7093
La -1.6977 -1.4003 -2.6792
La -1.7394 1.7740 2.4185
La -2.4842 -3.0055 5.3885
La -2.4426 -6.1798 0.2908
La -4.5260 -8.9601 0.7182
La -3.8379 0.1484 4.7004
La -6.3449 -7.1051 3.2472
La -2.7507 -7.4958 3.5199
La -5.6133 -1.3159 1.8988
La -2.0191 -1.7066 2.1714
Sb 0.0000 0.0000 0.0000
Sb -0.7449 -4.7795 2.9700
Sb -4.5683 -5.7375 5.8936
Sb -3.7957 -3.0742 -0.4749
```

Computed, not measured: a relaxed structure of La3Sb at the GGA-PBEsol level of DFT.

```
4
Lattice="4.9050 0.0000 0.0000 0.0000 4.9050 0.0000 0.0000 0.0000 4.9050" Properties=species:S:1:pos:R:3 pbc="T T T"
Sb 0.0000 0.0000 0.0000
La 0.0000 2.4525 2.4525
La 2.4525 0.0000 2.4525
La 2.4525 2.4525 0.0000
```

Computed, not measured: a relaxed structure of La3Sb at the GGA-PBEsol level of DFT.

```
8
Lattice="4.8689 0.0000 0.0000 0.0000 4.8689 0.0000 -2.4345 -2.4345 9.9806" Properties=species:S:1:pos:R:3 pbc="T T T"
La 0.0000 2.4345 0.0000
La 2.4345 0.0000 0.0000
La 2.4345 0.0000 4.9903
La 0.0000 2.4345 4.9903
La 2.4345 2.4345 7.4940
La 0.0000 0.0000 2.4866
Sb 2.4345 2.4345 2.4821
Sb 0.0000 0.0000 7.4985
```

Computed, not measured: a relaxed structure of La3Sb at the GGA-PBEsol level of DFT.

```
4
Lattice="-1.5113 -2.0083 3.3215 3.2659 -2.5842 -0.0765 3.6168 4.4428 4.3318" Properties=species:S:1:pos:R:3 pbc="T T T"
La 2.8425 3.4916 3.4044
La 2.6857 -0.0748 3.7884
La 0.7743 0.9511 0.9273
Sb 0.8773 -2.2962 1.6225
```

ΔE_f (raw) in kJ per mole of atoms, matching the order above: -211.77; -208.14; 125.75; -210.28; 52.39; 5.23; -198.82; -39.25; -61.78; -64.41; -60.56; -56.05